Record 1
A relaxed structure of NaVO3. Source: Alexandria via LeMat-Bulk, functional GGA-PBEsol.

Calculated values
- total magnetization (μB per atom) = 0.0005
- theoretical density (g/cm³) = 2.59
- uncorrected energy (eV per atom) = -7.603

Geometry as CIF:
```
data_NaVO3
_cell_length_a 9.981
_cell_length_b 10.335
_cell_length_c 6.066
_cell_angle_alpha 90.00
_cell_angle_beta 90.00
_cell_angle_gamma 90.00
_space_group_name_H-M_alt 'I b a m'
_space_group_IT_number 72
_space_group_name_Hall '-I 2 2c'
loop_
_atom_site_label
_atom_site_fract_x
_atom_site_fract_y
_atom_site_fract_z
Na1 0.180 0.000 0.250
V1 0.079 0.296 0.000
O1 0.000 0.347 0.250
O2 0.088 0.136 0.000
O3 0.231 0.360 0.000
```

Record 2
A relaxed structure of NaV4O10. Source: Alexandria via LeMat-Bulk, functional GGA-PBEsol.

Calculated values
- total magnetization (μB per atom) = 0.0001
- theoretical density (g/cm³) = 3.42
- uncorrected energy (eV per atom) = -8.470

Geometry as CIF:
```
data_NaV4O10
_cell_length_a 3.630
_cell_length_b 11.359
_cell_length_c 18.231
_cell_angle_alpha 90.00
_cell_angle_beta 90.00
_cell_angle_gamma 90.00
_space_group_name_H-M_alt 'C m c m'
_space_group_IT_number 63
_space_group_name_Hall '-C 2c 2'
loop_
_atom_site_label
_atom_site_fract_x
_atom_site_fract_y
_atom_site_fract_z
Na1 0.000 0.062 0.250
V1 0.000 0.271 0.586
V2 0.000 0.433 0.084
O1 0.000 0.098 0.567
O2 0.000 0.258 0.064
O3 0.000 0.295 0.672
O4 0.000 0.418 0.549
O5 0.000 0.458 0.171
```

Record 3
A relaxed structure of Na5VO5. Source: Alexandria via LeMat-Bulk, functional GGA-PBEsol.

Calculated values
- total magnetization (μB per atom) = 0.0001
- theoretical density (g/cm³) = 2.86
- distance to the lowest polymorph of the same formula (meV per atom) = 63.4
- uncorrected energy (eV per atom) = -5.729

Geometry as CIF:
```
data_Na5VO5
_cell_length_a 6.154
_cell_length_b 9.883
_cell_length_c 9.864
_cell_angle_alpha 90.00
_cell_angle_beta 107.65
_cell_angle_gamma 90.00
_space_group_name_H-M_alt 'C 1 2/c 1'
_space_group_IT_number 15
loop_
_space_group_symop_operation_xyz
'x,y,z'
'-x,-y,-z'
'-x,y,-z+1/2'
'x,-y,z+1/2'
'x+1/2,y+1/2,z'
'-x+1/2,-y+1/2,-z'
'-x+1/2,y+1/2,-z+1/2'
'x+1/2,-y+1/2,z+1/2'
loop_
_atom_site_label
_atom_site_fract_x
_atom_site_fract_y
_atom_site_fract_z
Na1 0.000 0.166 0.250
Na2 0.173 0.115 0.552
Na3 0.179 0.349 0.082
V1 0.000 0.408 0.750
O1 0.000 0.414 0.250
O2 0.122 0.332 0.624
O3 0.208 0.107 0.109
```

Record 4
A relaxed structure of NaV5O8. Source: Alexandria via LeMat-Bulk, functional GGA-PBEsol.

Calculated values
- total magnetization (μB per atom) = 0.3503
- theoretical density (g/cm³) = 4.70
- distance to the lowest polymorph of the same formula (meV per atom) = 42.4
- uncorrected energy (eV per atom) = -8.729

Geometry as CIF:
```
data_NaV5O8
_cell_length_a 10.691
_cell_length_b 2.826
_cell_length_c 9.722
_cell_angle_alpha 90.00
_cell_angle_beta 102.75
_cell_angle_gamma 90.00
_space_group_name_H-M_alt 'C 1 2/m 1'
_space_group_IT_number 12
loop_
_space_group_symop_operation_xyz
'x,y,z'
'-x,-y,-z'
'-x,y,-z'
'x,-y,z'
'x+1/2,y+1/2,z'
'-x+1/2,-y+1/2,-z'
'-x+1/2,y+1/2,-z'
'x+1/2,-y+1/2,z'
loop_
_atom_site_label
_atom_site_fract_x
_atom_site_fract_y
_atom_site_fract_z
Na1 0.000 0.000 0.000
V1 0.000 0.000 0.500
V2 0.240 0.000 0.869
V3 0.242 0.000 0.396
O1 0.113 0.500 0.430
O2 0.144 0.500 0.939
O3 0.147 0.000 0.669
O4 0.163 0.000 0.193
```

Record 5
A relaxed structure of Na3V5O10. Source: Alexandria via LeMat-Bulk, functional GGA-PBEsol.

Calculated values
- total magnetization (μB per atom) = 0.2064
- theoretical density (g/cm³) = 4.13
- uncorrected energy (eV per atom) = -8.074

Geometry as CIF:
```
data_Na3V5O10
_cell_length_a 4.863
_cell_length_b 6.573
_cell_length_c 7.024
_cell_angle_alpha 112.71
_cell_angle_beta 96.26
_cell_angle_gamma 104.88
_space_group_name_H-M_alt 'P 1'
_space_group_IT_number 1
loop_
_space_group_symop_operation_xyz
'x,y,z'
loop_
_atom_site_label
_atom_site_fract_x
_atom_site_fract_y
_atom_site_fract_z
Na1 0.000 0.000 0.000
Na2 0.185 0.392 0.391
Na3 0.378 0.790 0.793
V1 0.176 0.884 0.388
V2 0.432 0.307 0.808
V3 0.586 0.702 0.207
V4 0.791 0.123 0.620
V5 0.948 0.471 0.965
O1 0.093 0.416 0.714
O2 0.097 0.993 0.675
O3 0.268 0.800 0.112
O4 0.289 0.386 0.069
O5 0.477 0.205 0.519
O6 0.496 0.790 0.482
O7 0.684 0.627 0.917
O8 0.686 0.155 0.885
O9 0.880 0.013 0.325
O10 0.893 0.579 0.264
```

Record 6
A relaxed structure of NaVO3. Source: Alexandria via LeMat-Bulk, functional GGA-PBEsol.

Calculated values
- total magnetization (μB per atom) = 0.0001
- theoretical density (g/cm³) = 2.88
- uncorrected energy (eV per atom) = -7.647

Geometry as CIF:
```
data_NaVO3
_cell_length_a 14.356
_cell_length_b 3.585
_cell_length_c 5.455
_cell_angle_alpha 90.00
_cell_angle_beta 90.00
_cell_angle_gamma 90.00
_space_group_name_H-M_alt 'P n m a'
_space_group_IT_number 62
loop_
_space_group_symop_operation_xyz
'x,y,z'
'-x,-y,-z'
'-x+1/2,-y,z+1/2'
'x+1/2,y,-z+1/2'
'x+1/2,-y+1/2,-z+1/2'
'-x+1/2,y+1/2,z+1/2'
'-x,y+1/2,-z'
'x,-y+1/2,z'
loop_
_atom_site_label
_atom_site_fract_x
_atom_site_fract_y
_atom_site_fract_z
Na1 0.176 0.250 0.098
V1 0.087 0.750 0.561
O1 0.052 0.250 0.497
O2 0.118 0.750 0.850
O3 0.182 0.750 0.388
```

Record 7
A relaxed structure of NaV5O8. Source: Alexandria via LeMat-Bulk, functional GGA-PBEsol.

Calculated values
- total magnetization (μB per atom) = 0.0338
- theoretical density (g/cm³) = 4.97
- distance to the lowest polymorph of the same formula (meV per atom) = 0.0
- uncorrected energy (eV per atom) = -8.771

Geometry as CIF:
```
data_NaV5O8
_cell_length_a 14.167
_cell_length_b 2.790
_cell_length_c 7.082
_cell_angle_alpha 90.00
_cell_angle_beta 104.44
_cell_angle_gamma 90.00
_space_group_name_H-M_alt 'C 1 2/m 1'
_space_group_IT_number 12
loop_
_space_group_symop_operation_xyz
'x,y,z'
'-x,-y,-z'
'-x,y,-z'
'x,-y,z'
'x+1/2,y+1/2,z'
'-x+1/2,-y+1/2,-z'
'-x+1/2,y+1/2,-z'
'x+1/2,-y+1/2,z'
loop_
_atom_site_label
_atom_site_fract_x
_atom_site_fract_y
_atom_site_fract_z
Na1 0.000 0.000 0.000
V1 0.000 0.500 0.500
V2 0.148 0.000 0.464
V3 0.209 0.000 0.859
O1 0.079 0.000 0.663
O2 0.081 0.500 0.300
O3 0.158 0.500 0.989
O4 0.235 0.500 0.654
```

Record 8
A relaxed structure of NaV2O5. Source: Alexandria via LeMat-Bulk, functional GGA-PBEsol.

Calculated values
- total magnetization (μB per atom) = 0.1200
- theoretical density (g/cm³) = 3.03
- distance to the lowest polymorph of the same formula (meV per atom) = 35.8
- uncorrected energy (eV per atom) = -8.170

Geometry as CIF:
```
data_NaV2O5
_cell_length_a 3.606
_cell_length_b 11.085
_cell_length_c 11.243
_cell_angle_alpha 90.00
_cell_angle_beta 90.00
_cell_angle_gamma 90.00
_space_group_name_H-M_alt 'C m c m'
_space_group_IT_number 63
_space_group_name_Hall '-C 2c 2'
loop_
_atom_site_label
_atom_site_fract_x
_atom_site_fract_y
_atom_site_fract_z
Na1 0.000 0.094 0.250
V1 0.000 0.206 0.600
O1 0.000 0.062 0.617
O2 0.000 0.242 0.071
O3 0.000 0.269 0.750
```